The following is a GGA-PBE calculation of an optimized crystal structure of PrInTeSe, from the Alexandria database.

abc: 8.553 8.553 8.553
angles: 29.96 29.96 29.96
Atoms (fractional coordinates):
Pr 0.000 0.000 0.000
In 0.172 0.172 0.172
Te 0.416 0.416 0.416
Se 0.605 0.605 0.605

Calculated values
Formation energy (no corrections): -1.11 eV per atom
VASP energy: -4.6506 eV per atom
Space-group type: R3m (160)